{"formula": "La3Ho4Th", "functional": "PBE-GGA", "state": "relaxed", "lattice_angstrom": [[-2.864, 0.899, -1.720], [-5.999, -5.764, 3.499], [-3.881, 5.607, 5.912]], "species": ["Ho", "Ho", "Ho", "Ho", "Th", "La", "La", "La"], "frac_coords": [[0.633, 0.117, 0.617], [0.367, 0.883, 0.383], [0.367, 0.383, 0.883], [0.633, 0.617, 0.117], [0.500, 0.000, 0.000], [0.769, 0.231, 0.231], [0.231, 0.769, 0.769], [0.000, 0.500, 0.500]], "spacegroup": "No. 71", "energy_ev_per_atom": -4.916, "magmom_total_mub_per_fu": 0.00}